# GGA+U Cd2MoO4, optimized geometry
data_Cd2MoO4
_chemical_formula_sum 'Cd8 Mo4 O16'
_space_group_name_H-M_alt 'P 1'
_space_group_IT_number 1
_space_group_name_Hall 'P 1'
_cell_length_a 5.6477
_cell_length_b 5.6751
_cell_length_c 11.7719
_cell_angle_alpha 90.00
_cell_angle_beta 90.00
_cell_angle_gamma 90.00
loop_
_atom_site_label
_atom_site_fract_x
_atom_site_fract_y
_atom_site_fract_z
_atom_site_occupancy
Cd1 0.9926 0.9517 0.8401 1
Cd2 0.4926 0.5483 0.1599 1
Cd3 0.0074 0.4517 0.6599 1
Cd4 0.5074 0.0483 0.3401 1
Cd5 0.0074 0.0483 0.1599 1
Cd6 0.5074 0.4517 0.8401 1
Cd7 0.9926 0.5483 0.3401 1
Cd8 0.4926 0.9517 0.6599 1
Mo1 0.0000 0.0000 0.5000 1
Mo2 0.5000 0.5000 0.5000 1
Mo3 0.0000 0.5000 0.0000 1
Mo4 0.5000 0.0000 0.0000 1
O1 0.8040 0.6860 0.5402 1
O2 0.3040 0.8140 0.4598 1
O3 0.1960 0.1860 0.9598 1
O4 0.6960 0.3140 0.0402 1
O5 0.1960 0.3140 0.4598 1
O6 0.6960 0.1860 0.5402 1
O7 0.8040 0.8140 0.0402 1
O8 0.3040 0.6860 0.9598 1
O9 0.1043 0.0560 0.6655 1
O10 0.6043 0.4440 0.3345 1
O11 0.8957 0.5560 0.8345 1
O12 0.3957 0.9440 0.1655 1
O13 0.8957 0.9440 0.3345 1
O14 0.3957 0.5560 0.6655 1
O15 0.1043 0.4440 0.1655 1
O16 0.6043 0.0560 0.8345 1
# - space group = No. 61
# - offset from the most stable computed form (meV per atom) = 0
# - size of the total moment (μB per formula unit) = 2.0